Material: LiSb
Method: DFT, PBE
State: relaxed

Unit cell a=5.478 b=5.478 c=8.878 alpha=67.27 beta=67.27 gamma=34.31
Atoms (fractional coordinates):
1 Li 0.562 0.562 0.288
2 Li 0.738 0.738 0.669
3 Li 0.975 0.975 0.973
4 Sb 0.027 0.027 0.617
5 Sb 0.245 0.245 0.976
6 Sb 0.286 0.286 0.311

offset from the most stable computed form = 72 meV per atom
total magnetization = 0.00 μB/f.u.
space-group type = No. 8
calculated total energy = -20.16 eV/cell



Material: LiSb
Method: DFT, PBE
State: relaxed

Unit cell a=4.075 b=4.075 c=5.567 alpha=90.00 beta=90.00 gamma=90.00
Atoms (fractional coordinates):
1 Sb 0.000 0.000 0.504
2 Sb 0.500 0.500 0.746
3 Li 0.000 0.000 0.995
4 Li 0.500 0.500 0.255

offset from the most stable computed form = 150 meV per atom
total magnetization = 0.00 μB/f.u.
space-group type = No. 129
calculated total energy = -13.13 eV/cell



Material: Li3Sb2
Method: DFT, PBE
State: relaxed

Unit cell a=8.079 b=8.079 c=6.156 alpha=49.00 beta=49.00 gamma=60.00
Atoms (fractional coordinates):
1 Sb 0.877 0.877 0.368
2 Sb 0.623 0.623 0.132
3 Sb 0.377 0.377 0.868
4 Sb 0.123 0.123 0.632
5 Li 0.443 0.057 0.750
6 Li 0.557 0.943 0.250
7 Li 0.250 0.557 0.250
8 Li 0.057 0.750 0.750
9 Li 0.943 0.250 0.250
10 Li 0.750 0.443 0.750

offset from the most stable computed form = 36 meV per atom
total magnetization = 0.00 μB/f.u.
space-group type = No. 167
calculated total energy = -32.08 eV/cell



Material: LiSb
Method: DFT, PBE
State: relaxed

Unit cell a=6.534 b=6.534 c=7.168 alpha=88.51 beta=88.51 gamma=28.51
Atoms (fractional coordinates):
1 Li 0.614 0.614 0.276
2 Li 0.652 0.652 0.710
3 Li 0.364 0.364 0.307
4 Sb 0.987 0.987 0.544
5 Sb 0.986 0.986 0.993
6 Sb 0.231 0.231 0.003

offset from the most stable computed form = 115 meV per atom
total magnetization = 0.00 μB/f.u.
space-group type = No. 8
calculated total energy = -19.91 eV/cell



Material: LiSb
Method: DFT, PBE
State: relaxed

Unit cell a=5.569 b=5.569 c=4.110 alpha=90.00 beta=90.00 gamma=133.45
Atoms (fractional coordinates):
1 Li 0.396 0.604 0.250
2 Li 0.604 0.396 0.750
3 Sb 0.895 0.105 0.750
4 Sb 0.105 0.895 0.250

offset from the most stable computed form = 84 meV per atom
total magnetization = 0.00 μB/f.u.
space-group type = No. 63
calculated total energy = -13.40 eV/cell



Material: Li5Sb2
Method: DFT, PBE
State: relaxed

Unit cell a=5.925 b=6.970 c=8.040 alpha=115.69 beta=111.62 gamma=90.00
Atoms (fractional coordinates):
1 Li 0.490 0.740 0.480
2 Li 0.913 0.755 0.827
3 Li 0.587 0.928 0.173
4 Li 0.750 0.500 0.000
5 Li 0.413 0.072 0.827
6 Li 0.250 0.500 0.000
7 Li 0.010 0.260 0.520
8 Li 0.990 0.740 0.480
9 Li 0.510 0.260 0.520
10 Li 0.087 0.245 0.173
11 Sb 0.376 0.634 0.751
12 Sb 0.624 0.366 0.249
13 Sb 0.124 0.883 0.249
14 Sb 0.876 0.117 0.751

total magnetization = 0.00 μB/f.u.
space-group type = No. 72
calculated total energy = -43.41 eV/cell



Number 1: uncorrected formation energy -343 meV/atom. Number 2: uncorrected formation energy -264 meV/atom. Number 3: uncorrected formation energy -411 meV/atom. Number 4: uncorrected formation energy -300 meV/atom. Number 5: uncorrected formation energy -331 meV/atom. Number 6: uncorrected formation energy -556 meV/atom.